Crystalline LiCaPmZn at its relaxed geometry. Source: Alexandria via LeMat-Bulk, functional PBE.

Values from the calculation:
Calculated formation energy   -112 meV/atom
Calculated total energy   -2.597 eV per atom

Cell: 5.265 5.265 5.265 Å, 60.00 60.00 60.00°
Element x y z (fractional)
Ca: 0.750 0.750 0.750
Zn: 0.000 0.000 0.000
Li: 0.500 0.500 0.500
Pm: 0.250 0.250 0.250

Crystalline Re2AgW at its relaxed geometry. Source: Alexandria via LeMat-Bulk, functional PBE.

Values from the calculation:
Calculated formation energy   499 meV/atom
Calculated total energy   -9.676 eV per atom

Cell: 4.922 4.922 4.810 Å, 78.92 78.92 33.66°
Element x y z (fractional)
Re: 0.990 0.990 0.021
Ag: 0.749 0.749 0.748
W: 0.508 0.508 0.488
Re: 0.253 0.253 0.242

Crystalline CsHO3 at its relaxed geometry. Source: Alexandria via LeMat-Bulk, functional PBE.

Values from the calculation:
Calculated total energy   -4.053 eV per atom

Cell: 3.017 5.514 5.394 Å, 120.74 90.00 90.00°
Last column: magnetic moment on the atom in μB.
Element x y z (fractional)
O: 0.500 0.536 0.071  0.28
Cs: 0.500 0.885 0.769  0.01
O: 0.000 0.085 0.399  0.69
H: 0.000 0.536 0.071  -0.01
O: 0.000 0.314 0.399  0.69

Crystalline LiTiH6O2F6 at its relaxed geometry. Source: Alexandria via LeMat-Bulk, functional PBE.

Values from the calculation:
Calculated total energy   -5.124 eV per atom

Cell: 5.375 5.375 6.264 Å, 89.75 89.75 62.34°
Last column: magnetic moment on the atom in μB.
Element x y z (fractional)
H: 0.105 0.280 0.704  0.00
F: 0.284 0.716 0.789  0.00
F: 0.698 0.158 0.217  0.01
O: 0.738 0.701 0.346  0.00
H: 0.893 0.533 0.267  0.00
F: 0.284 0.716 0.211  0.00
F: 0.102 0.268 0.130  -0.01
Li: 0.535 0.465 0.000  0.00
F: 0.732 0.898 0.870  -0.01
H: 0.467 0.107 0.733  0.00
Ti: 0.016 0.984 0.000  0.89
H: 0.550 0.705 0.317  0.00
H: 0.720 0.895 0.296  0.00
O: 0.299 0.262 0.654  0.00
F: 0.842 0.302 0.783  0.01
H: 0.295 0.450 0.683  0.00